(1)
Density functional theory data (PBE) for a relaxed structure of LaHS2.

a = 7.683 Å, b = 7.683 Å, c = 7.683 Å
α = 27.10°, β = 27.10°, γ = 27.10°
Fractional coordinates of all 4 atoms:
1 S 0.120 0.120 0.120
2 La 0.000 0.000 0.000
3 H 0.500 0.500 0.500
4 S 0.880 0.880 0.880

Space group ... R-3m
ΔE to the lowest computed polymorph ... 7.94 eV/f.u.
Density of states at the Fermi level ... 5.7 states/eV/f.u.



(2)
Density functional theory data (PBE) for a relaxed structure of CaZnHg2.

a = 4.595 Å, b = 4.595 Å, c = 10.680 Å
α = 77.58°, β = 77.58°, γ = 90.00°
Fractional coordinates of all 8 atoms:
1 Ca 0.250 0.750 0.500
2 Zn 0.750 0.250 0.500
3 Hg 0.875 0.912 0.750
4 Hg 0.088 0.625 0.250
5 Hg 0.662 0.125 0.250
6 Zn 0.000 0.000 0.000
7 Hg 0.375 0.338 0.750
8 Ca 0.500 0.500 0.000

Space group ... I-42d
Energy relative to the elements ... -130 meV per atom
Density of states at the Fermi level ... 2.1 states/eV/f.u.



(3)
Density functional theory data (PBE) for a relaxed structure of CoAg2Te.

a = 9.937 Å, b = 9.937 Å, c = 9.937 Å
α = 17.60°, β = 17.60°, γ = 17.60°
Fractional coordinates of all 4 atoms:
1 Te 0.750 0.750 0.750
2 Co 0.250 0.250 0.250
3 Ag 0.513 0.513 0.513
4 Ag 0.987 0.987 0.987

Space group ... R-3m
Formation energy from raw total energies ... 0.49 eV/atom
Density of states at the Fermi level ... 3.2 states/eV/f.u.